# 1
VASP calculation (PBE) on crystalline K2CaBe at its relaxed geometry.

Properties
Formation enthalpy at 0 K ... 0.73 eV per atom
Calculated total energy ... -0.0461 hartree per atom

```
K2CaBe
1.0
4.106 0.000 0.000
-2.053 3.556 0.000
0.000 0.000 36.688
K Ca Be
6 3 3
Cartesian
0.000 0.000 8.511
0.000 0.000 28.177
0.000 2.370 15.948
0.000 2.370 32.970
2.053 1.185 3.718
2.053 1.185 20.740
0.000 0.000 0.000
0.000 2.370 24.459
2.053 1.185 12.229
0.000 0.000 18.344
0.000 2.370 6.115
2.053 1.185 30.573
```

---

# 2
VASP calculation (PBE) on crystalline NaTiZnSi2 at its relaxed geometry.

Properties
Uncorrected formation energy ... 1318 meV/atom
Calculated total energy ... -0.1084 hartree per atom

```
NaTiZnSi2
1.0
4.766 0.000 0.000
0.000 4.766 0.000
0.000 0.000 4.531
Na Ti Zn Si
1 1 1 2
Cartesian
0.000 0.000 0.000
2.383 2.383 2.265
0.000 0.000 2.265
0.000 2.383 0.000
2.383 0.000 0.000
```

---

# 3
VASP calculation (PBE) on crystalline SmDy2Er5Sc at its relaxed geometry.

Properties
Formation enthalpy at 0 K ... 0.17 eV per atom
Calculated total energy ... -0.1696 hartree per atom

```
SmDy2Er5Sc
1.0
2.761 -9.799 0.000
2.761 9.799 0.000
0.000 0.000 10.331
Sm Dy Er Sc
2 4 10 2
Cartesian
2.761 8.088 5.166
2.761 -8.088 0.000
2.761 2.228 8.066
2.761 2.181 3.721
2.761 -2.181 8.887
2.761 -2.228 2.901
2.761 9.423 8.100
2.761 7.402 0.683
2.761 5.855 7.760
2.761 5.427 3.788
2.761 0.361 0.677
2.761 -0.361 5.842
2.761 -5.427 8.954
2.761 -5.855 2.595
2.761 -7.402 5.848
2.761 -9.423 2.935
2.761 3.850 0.618
2.761 -3.850 5.784
```

---

# 4
VASP calculation (PBE) on crystalline KRbScO2 at its relaxed geometry.

Properties
Uncorrected formation energy ... 396 meV/atom
Calculated total energy ... -0.1201 hartree per atom

```
KRbScO2
1.0
4.999 0.000 0.000
0.000 4.999 0.000
0.000 0.000 5.080
K Rb Sc O
1 1 1 2
Cartesian
0.000 0.000 0.000
0.000 0.000 2.540
2.499 2.499 2.540
0.000 2.499 0.000
2.499 0.000 0.000
```

---

# 5
VASP calculation (PBE) on crystalline Co3PbCl at its relaxed geometry.

Properties
Uncorrected formation energy ... 1534 meV/atom
Calculated total energy ... -0.1411 hartree per atom

```
Co3PbCl
1.0
5.031 0.000 0.000
0.000 5.031 0.000
0.000 0.000 5.031
Co Pb Cl
3 1 1
Cartesian
0.000 0.000 2.515
0.000 2.515 0.000
2.515 0.000 0.000
0.000 0.000 0.000
2.515 2.515 2.515
```

---

# 6
VASP calculation (PBE) on crystalline AlSiS2Cl at its relaxed geometry.

Properties
Uncorrected formation energy ... -88 meV/atom
Calculated total energy ... -0.1449 hartree per atom

```
AlSiS2Cl
1.0
4.706 0.000 0.000
0.000 4.706 0.000
0.000 0.000 4.486
Al Si S Cl
1 1 2 1
Cartesian
0.000 0.000 0.000
2.353 2.353 2.243
0.000 2.353 0.000
2.353 0.000 0.000
0.000 0.000 2.243
```